1.
Material: La3Ge6RhAu2
Method: DFT, PBE-GGA
State: relaxed

Unit cell a=6.1157 b=6.1157 c=8.3611 alpha=90.00 beta=90.00 gamma=120.00
Space group P-3m1 (No. 164)
Inequivalent atoms, fractional coordinates:
La 0.0000 0.0000 0.0000 [1 per cell]
La 0.3333 0.6667 0.6504 [2 per cell]
Ge 0.1892 0.3785 0.3074 [6 per cell]
Rh 0.0000 0.0000 0.5000 [1 per cell]
Au 0.3333 0.6667 0.0167 [2 per cell]

- uncorrected energy (eV/atom) = -5.232
- density of states at the Fermi level (states/eV/f.u.) = 4.18
- calculated formation energy (eV per atom) = -0.53



2.
Material: La2ScGe4Au3
Method: DFT, PBE-GGA
State: relaxed

Unit cell a=4.4510 b=4.4510 c=11.1264 alpha=90.00 beta=90.00 gamma=90.00
Space group P-4m2 (No. 115)
Inequivalent atoms, fractional coordinates:
La 0.0000 0.5000 0.2387 [2 per cell]
Sc 0.0000 0.0000 0.5000 [1 per cell]
Ge 0.0000 0.0000 0.0000 [1 per cell]
Ge 0.0000 0.5000 0.6421 [2 per cell]
Ge 0.5000 0.5000 0.0000 [1 per cell]
Au 0.0000 0.5000 0.8714 [2 per cell]
Au 0.5000 0.5000 0.5000 [1 per cell]

- uncorrected energy (eV/atom) = -5.143
- density of states at the Fermi level (states/eV/f.u.) = 2.58
- calculated formation energy (eV per atom) = -0.69



3.
Material: LaScGeAu
Method: DFT, PBE-GGA
State: relaxed

Unit cell a=7.2192 b=7.2192 c=7.2192 alpha=90.00 beta=90.00 gamma=90.00
Space group F-43m (No. 216)
Inequivalent atoms, fractional coordinates:
La 0.0000 0.0000 0.0000 [4 per cell]
Sc 0.0000 0.0000 0.5000 [4 per cell]
Ge 0.2500 0.2500 0.2500 [4 per cell]
Au 0.2500 0.2500 0.7500 [4 per cell]

- uncorrected energy (eV/atom) = -5.465
- density of states at the Fermi level (states/eV/f.u.) = 4.16
- calculated formation energy (eV per atom) = -0.68